(A)
Cu2Pd5Au4 after structural relaxation, computed with PBE.

abc: 14.4952 3.9520 6.2909
angles: 90.00 104.47 90.00
Closest atoms and distances in Å follow each position.
Space group C2/m (No. 12)
Unique sites:
Cu 0.0927 0.0000 0.4492  6 Pd 2.72-2.81, 5 Au 2.81-2.83, 1 Cu 2.91
Pd 0.0000 0.0000 0.0000  2 Cu 2.81, 6 Au 2.82-2.84, 4 Pd 2.83
Pd 0.1351 0.5000 0.1908  2 Cu 2.72, 5 Pd 2.75-2.83, 5 Au 2.79-2.93
Pd 0.2277 0.5000 0.6292  5 Pd 2.74-2.83, 3 Cu 2.77-2.81, 4 Au 2.82-2.90
Au 0.0439 0.5000 0.7198  3 Au 2.74-2.84, 5 Pd 2.79-2.93, 4 Cu 2.81
Au 0.1813 0.0000 0.9048  7 Pd 2.82-2.90, 1 Cu 2.83, 4 Au 2.84-2.85

total magnetic moment	0.000	μB/atom
volume	15.86	Å³/atom

(B)
Cu2Pd5Au4 after structural relaxation, computed with PBE.

abc: 2.7700 7.2818 18.6086
angles: 90.00 90.00 90.00
Closest atoms and distances in Å follow each position.
Space group Immm (No. 71)
Unique sites:
Cu 0.0000 0.0000 0.0987  5 Au 2.50-2.67, 4 Pd 2.72, 2 Cu 2.77
Pd 0.0000 0.1985 0.3584  2 Cu 2.72, 2 Au 2.74-2.76, 3 Pd 2.77-2.89
Pd 0.0000 0.5000 0.0000  4 Au 2.66, 2 Pd 2.77
Au 0.0000 0.0000 0.2331  1 Cu 2.50, 2 Pd 2.74, 2 Au 2.77
Au 0.0000 0.3127 0.5000  4 Pd 2.66-2.76, 4 Cu 2.67, 3 Au 2.73-2.77

total magnetic moment	0.000	μB/atom
volume	17.06	Å³/atom

Which of them is least stable? Easy: (B).

(A)
Cu3Pd2Au after structural relaxation, computed with PBE.

abc: 4.0374 12.0797 3.4910
angles: 90.00 90.00 90.00
Closest atoms and distances in Å follow each position.
Space group Cmmm (No. 65)
Unique sites:
Cu 0.0000 0.0000 0.0000  4 Pd 2.67, 4 Au 2.67, 4 Cu 2.88
Cu 0.0000 0.3301 0.0000  6 Pd 2.63-2.67, 2 Au 2.69, 4 Cu 2.80-2.88
Pd 0.0000 0.1670 0.5000  8 Cu 2.63-2.67, 2 Pd 2.84, 2 Au 2.85
Au 0.0000 0.5000 0.5000  8 Cu 2.67-2.69, 4 Pd 2.85

total magnetic moment	0.000	μB/atom
volume	14.19	Å³/atom

(B)
Cu3Pd2Au after structural relaxation, computed with PBE.

abc: 2.8937 2.8937 10.1679
angles: 90.00 90.00 90.00
Closest atoms and distances in Å follow each position.
Space group P4/mmm (No. 123)
Unique sites:
Cu 0.0000 0.0000 0.0000  8 Pd 2.63, 4 Cu 2.89
Cu 0.0000 0.0000 0.3250  4 Pd 2.63, 4 Au 2.71, 4 Cu 2.89
Pd 0.5000 0.5000 0.1626  8 Cu 2.63, 4 Pd 2.89
Au 0.5000 0.5000 0.5000  8 Cu 2.71, 4 Au 2.89

total magnetic moment	0.000	μB/atom
volume	14.19	Å³/atom

Which of them is least stable? Easy: (B).

(A)
CuSnPdAu after structural relaxation, computed with PBE.

abc: 9.0591 4.0133 4.1447
angles: 90.00 116.26 90.00
Closest atoms and distances in Å follow each position.
Space group Cm (No. 8)
Unique sites:
Cu 0.0000 0.0000 0.0000  4 Au 2.83-2.97, 4 Pd 2.83-2.94, 4 Sn 2.88-2.89
Sn 0.9995 0.5000 0.4987  4 Pd 2.85-2.91, 4 Au 2.86-2.89, 4 Cu 2.88-2.89
Pd 0.2541 0.0000 0.7515  4 Cu 2.83-2.94, 4 Sn 2.85-2.91, 4 Au 2.88-2.89
Au 0.2451 0.5000 0.2407  4 Cu 2.83-2.97, 4 Sn 2.86-2.89, 4 Pd 2.88-2.89

total magnetic moment	0.000	μB/atom
volume	16.89	Å³/atom

(B)
CuSnPdAu after structural relaxation, computed with PBE.

abc: 6.4685 6.4685 6.4685
angles: 90.00 90.00 90.00
Closest atoms and distances in Å follow each position.
Space group F-43m (No. 216)
Unique sites:
Cu 0.0000 0.0000 0.0000  4 Pd 2.80, 4 Au 2.80
Sn 0.0000 0.0000 0.5000  4 Pd 2.80, 4 Au 2.80
Pd 0.2500 0.2500 0.2500  4 Sn 2.80, 4 Cu 2.80
Au 0.2500 0.2500 0.7500  4 Sn 2.80, 4 Cu 2.80

total magnetic moment	0.000	μB/atom
volume	16.92	Å³/atom

Which of them is least stable? Easy: (B).

(A)
TiCuPdAu after structural relaxation, computed with PBE.

abc: 6.2712 6.2712 6.2712
angles: 90.00 90.00 90.00
Closest atoms and distances in Å follow each position.
Space group F-43m (No. 216)
Unique sites:
Ti 0.0000 0.0000 0.0000  4 Pd 2.72, 4 Au 2.72
Cu 0.0000 0.0000 0.5000  4 Au 2.72, 4 Pd 2.72
Pd 0.2500 0.2500 0.2500  4 Cu 2.72, 4 Ti 2.72
Au 0.2500 0.2500 0.7500  4 Cu 2.72, 4 Ti 2.72

total magnetic moment	0.000	μB/atom
volume	15.41	Å³/atom

(B)
TiCuPdAu after structural relaxation, computed with PBE.

abc: 3.8468 3.8468 8.2477
angles: 90.00 90.00 90.00
Closest atoms and distances in Å follow each position.
Space group I-4m2 (No. 119)
Unique sites:
Ti 0.0000 0.0000 0.0000  4 Pd 2.72, 4 Cu 2.82, 4 Au 2.82
Cu 0.0000 0.5000 0.2500  4 Au 2.72, 4 Ti 2.82, 4 Pd 2.82
Pd 0.0000 0.0000 0.5000  4 Ti 2.72, 4 Cu 2.82, 4 Au 2.82
Au 0.0000 0.5000 0.7500  4 Cu 2.72, 4 Pd 2.82, 4 Ti 2.82

total magnetic moment	0.132	μB/atom
volume	15.26	Å³/atom

Which of them is least stable? Easy: (A).

(A)
Pm2Cu3Au after structural relaxation, computed with PBE.

abc: 7.4043 8.7279 15.3441
angles: 90.00 90.00 90.00
Closest atoms and distances in Å follow each position.
Space group Fmmm (No. 69)
Unique sites:
Pm 0.2488 0.0000 0.0000  10 Cu 3.06-3.17, 2 Au 3.17
Pm 0.2500 0.2500 0.2500  4 Au 3.13, 8 Cu 3.17-3.20
Cu 0.0000 0.0000 0.1616  2 Cu 2.45, 1 Au 2.62
Cu 0.0000 0.2420 0.0802  2 Cu 2.45-2.46, 1 Au 2.62
Au 0.0000 0.0000 0.3325  3 Cu 2.62

total magnetic moment	0.000	μB/atom
volume	20.66	Å³/atom

(B)
Pm2Cu3Au after structural relaxation, computed with PBE.

abc: 3.9377 3.9922 16.0468
angles: 90.00 90.00 90.00
Closest atoms and distances in Å follow each position.
Space group Imm2 (No. 44)
Unique sites:
Pm 0.0000 0.0000 0.0000  6 Cu 3.08-3.31, 4 Au 3.11
Pm 0.0000 0.5000 0.2595  10 Cu 3.06-3.26
Cu 0.0000 0.0000 0.4202  2 Cu 2.39, 1 Au 2.63
Cu 0.0000 0.5000 0.6839  1 Cu 2.44, 2 Au 2.56
Cu 0.0000 0.5000 0.8358  3 Cu 2.39-2.44
Au 0.0000 0.0000 0.5842  3 Cu 2.56-2.63

total magnetic moment	0.000	μB/atom
volume	21.02	Å³/atom

Which of them is least stable? Easy: (B).

(A)
PmCu2Au after structural relaxation, computed with PBE.

abc: 4.4496 4.4496 13.4769
angles: 90.00 90.00 120.00
Closest atoms and distances in Å follow each position.
Space group R-3m (No. 166, hexagonal axes)
Unique sites:
Pm 0.0000 0.0000 0.0000  8 Cu 2.87-3.04
Cu 0.0000 0.0000 0.2128  3 Au 2.64, 3 Cu 2.85, 1 Pm 2.87
Au 0.0000 0.0000 0.5000  6 Cu 2.64

total magnetic moment	0.000	μB/atom
volume	19.26	Å³/atom

(B)
PmCu2Au after structural relaxation, computed with PBE.

abc: 4.4361 7.3305 5.4308
angles: 90.00 113.98 90.00
Closest atoms and distances in Å follow each position.
Space group P2_1/m (No. 11)
Unique sites:
Pm 0.0562 0.2500 0.1147  3 Au 2.97-2.98, 8 Cu 3.07-3.26
Cu 0.2468 0.5817 0.4935  3 Cu 2.47-2.52, 3 Au 2.67-2.74
Au 0.3575 0.2500 0.7152  6 Cu 2.67-2.74, 3 Pm 2.97-2.98

total magnetic moment	0.000	μB/atom
volume	20.17	Å³/atom

Which of them is least stable? Easy: (B).

(A)
PmCuAu after structural relaxation, computed with PBE.

abc: 4.4939 4.4939 3.7163
angles: 90.00 90.00 120.00
Closest atoms and distances in Å follow each position.
Space group P-6m2 (No. 187)
Unique sites:
Pm 0.0000 0.0000 0.0000  6 Cu 3.19, 6 Au 3.19
Cu 0.3333 0.6667 0.5000  3 Au 2.59
Au 0.6667 0.3333 0.5000  3 Cu 2.59

total magnetic moment	0.000	μB/atom
volume	21.67	Å³/atom

(B)
PmCuAu after structural relaxation, computed with PBE.

abc: 6.5067 6.5067 6.5067
angles: 90.00 90.00 90.00
Closest atoms and distances in Å follow each position.
Space group F-43m (No. 216)
Unique sites:
Pm 0.0000 0.0000 0.0000  4 Cu 2.82
Cu 0.2500 0.2500 0.2500  4 Au 2.82, 4 Pm 2.82
Au 0.0000 0.0000 0.5000  4 Cu 2.82

total magnetic moment	0.000	μB/atom
volume	22.96	Å³/atom

(C)
PmCuAu after structural relaxation, computed with PBE.

abc: 10.4367 4.4312 7.1133
angles: 90.00 129.96 90.00
Closest atoms and distances in Å follow each position.
Space group C2/m (No. 12)
Unique sites:
Pm 0.0442 0.0000 0.2914  5 Cu 3.04-3.20, 6 Au 3.19-3.21
Cu 0.1474 0.5000 0.6912  1 Cu 2.47, 2 Au 2.62
Au 0.1774 0.5000 0.1261  3 Cu 2.62-2.90, 1 Au 2.90

total magnetic moment	0.000	μB/atom
volume	21.01	Å³/atom

(D)
PmCuAu after structural relaxation, computed with PBE.

abc: 3.2316 22.4550 3.5845
angles: 90.00 90.00 90.00
Closest atoms and distances in Å follow each position.
Space group Cmcm (No. 63)
Unique sites:
Pm 0.0000 0.0762 0.2500  4 Au 3.08, 2 Pm 3.23, 1 Cu 3.28
Cu 0.0000 0.2221 0.2500  5 Au 2.62-2.77, 4 Cu 2.72
Au 0.0000 0.3387 0.2500  5 Cu 2.62-2.77

total magnetic moment	0.000	μB/atom
volume	21.68	Å³/atom

Which of them is least stable? Easy: (D).

(A)
PmPrCuAu after structural relaxation, computed with PBE.

abc: 4.6525 3.9407 11.0835
angles: 90.00 90.00 90.00
Closest atoms and distances in Å follow each position.
Space group Amm2 (No. 38)
Unique sites:
Pm 0.0000 0.0000 0.0000  3 Cu 3.09-3.17, 4 Au 3.13
Pr 0.5000 0.0000 0.7211  3 Au 3.10-3.15, 4 Cu 3.13
Cu 0.0000 0.0000 0.2856  2 Au 2.87, 3 Pm 3.09-3.17, 4 Pr 3.13
Au 0.5000 0.0000 0.4368  2 Cu 2.87, 3 Pr 3.10-3.15, 4 Pm 3.13

total magnetic moment	0.000	μB/atom
volume	25.40	Å³/atom

(B)
PmPrCuAu after structural relaxation, computed with PBE.

abc: 7.3371 7.3371 7.3371
angles: 90.00 90.00 90.00
Closest atoms and distances in Å follow each position.
Space group F-43m (No. 216)
Unique sites:
Pm 0.0000 0.0000 0.0000  4 Cu 3.18, 4 Au 3.18
Pr 0.0000 0.0000 0.5000  4 Au 3.18, 4 Cu 3.18
Cu 0.2500 0.2500 0.2500  4 Pr 3.18, 4 Pm 3.18
Au 0.2500 0.2500 0.7500  4 Pm 3.18, 4 Pr 3.18

total magnetic moment	0.000	μB/atom
volume	24.69	Å³/atom

Which of them is least stable? Easy: (B).